# 1
An optimized crystal structure of NiSbAs2, computed with GGA-PBE.

Cell: 3.7752 3.7752 6.5940 Å, 106.52 106.52 60.10°
Positions (direct):
Ni 0.0000 0.0000 0.0000
Sb 0.5000 0.5000 0.5000
As 0.2725 0.2725 0.8137
As 0.7275 0.7275 0.1863

# 2
An optimized crystal structure of NiSbAs2, computed with GGA-PBE.

Cell: 7.0661 7.0661 7.0661 Å, 132.02 132.02 70.20°
Positions (direct):
Ni 0.0000 0.0000 0.0000
Ni 0.7500 0.2500 0.5000
Sb 0.2500 0.7500 0.5000
Sb 0.5000 0.5000 0.0000
As 0.0581 0.6250 0.9331
As 0.3750 0.3081 0.4331
As 0.6919 0.1250 0.0669
As 0.8750 0.9419 0.5669

# 3
An optimized crystal structure of NiSbAs2, computed with GGA-PBE.

Cell: 5.7198 5.7198 3.8589 Å, 108.69 108.69 124.47°
Positions (direct):
Ni 0.0000 0.0000 0.0000
Sb 0.5000 0.5000 0.0000
As 0.0000 0.5000 0.5000
As 0.5000 0.0000 0.5000

Number 1: total magnetization 0.00 μB/f.u., VASP energy -4.783 eV per atom. Number 2: total magnetization 0.00 μB/f.u., VASP energy -4.813 eV per atom. Number 3: total magnetization 0.00 μB/f.u., VASP energy -4.614 eV per atom.